DFT (GGA-PBE) results for crystalline YMgBiRh2 at its relaxed geometry.

Lattice parameters (Å, degrees): 4.692 5.148 4.692 90.00 90.00 90.00
Atoms (fractional coordinates):
Rh  0.500  0.000  0.000
Bi  0.000  0.500  0.000
Y  0.500  0.500  0.500
Mg  0.000  0.000  0.000
Rh  0.000  0.000  0.500

SG = No. 123
Calculated total energy = -5.05 eV per atom

=====

DFT (GGA-PBE) results for crystalline Nd2TeBr3 at its relaxed geometry.

Lattice parameters (Å, degrees): 4.394 9.343 11.231 82.67 78.72 76.40
Site moments in Bohr magnetons follow the coordinates.
Atoms (fractional coordinates):
Br  0.945  0.847  0.262  0.00
Nd  0.152  0.566  0.129  0.32
Br  0.241  0.121  0.397  0.00
Te  0.603  0.469  0.325  0.00
Br  0.648  0.725  0.979  0.01
Nd  0.392  0.770  0.446  0.05
Br  0.055  0.153  0.738  0.00
Br  0.759  0.879  0.603  0.00
Nd  0.848  0.434  0.871  0.32
Nd  0.608  0.230  0.554  0.05
Te  0.397  0.531  0.675  0.00
Br  0.352  0.275  0.021  0.01

SG = No. 12
Calculated total energy = -4.57 eV per atom

=====

DFT (GGA-PBE) results for crystalline PRh at its relaxed geometry.

Lattice parameters (Å, degrees): 4.023 4.023 4.023 42.74 42.74 42.74
Atoms (fractional coordinates):
Rh  0.500  0.500  0.500
P  0.000  0.000  0.000

SG = No. 166
Calculated total energy = -6.71 eV per atom

=====

DFT (GGA-PBE) results for crystalline TmPd8Au5 at its relaxed geometry.

Lattice parameters (Å, degrees): 6.917 6.917 6.917 113.01 102.60 113.01
Atoms (fractional coordinates):
Pd  0.923  0.071  0.669
Tm  0.250  0.500  0.750
Pd  0.331  0.254  0.402
Au  0.286  0.077  0.929
Au  0.071  0.357  0.148
Pd  0.148  0.746  0.077
Pd  0.693  0.407  0.955
Au  0.852  0.923  0.210
Pd  0.598  0.929  0.852
Pd  0.045  0.738  0.453
Pd  0.715  0.262  0.307
Pd  0.547  0.593  0.285
Au  0.500  0.000  0.500
Au  0.790  0.643  0.714

SG = No. 82
Calculated total energy = -4.61 eV per atom

=====

DFT (GGA-PBE) results for crystalline La2CdRh at its relaxed geometry.

Lattice parameters (Å, degrees): 5.231 5.231 3.860 90.00 90.00 90.00
Atoms (fractional coordinates):
Rh  0.500  0.500  0.500
Cd  0.000  0.000  0.500
La  0.500  0.000  0.000
La  0.000  0.500  0.000

SG = No. 123
Calculated total energy = -4.95 eV per atom

=====

DFT (GGA-PBE) results for crystalline PaFe4Co at its relaxed geometry.

Lattice parameters (Å, degrees): 4.903 4.903 4.903 60.00 60.00 60.00
Site moments in Bohr magnetons follow the coordinates.
Atoms (fractional coordinates):
Co  0.000  0.000  0.000  1.66
Fe  0.626  0.626  0.626  2.13
Fe  0.626  0.626  0.123  2.13
Fe  0.626  0.123  0.626  2.13
Pa  0.250  0.250  0.250  -0.53
Fe  0.123  0.626  0.626  2.13

SG = No. 216
Calculated total energy = -8.43 eV per atom